[1]
PbSeS2Cl at its PBEsol-relaxed geometry, computed with SCAN.

The structure in CIF format:
```
data_PbSeS2Cl
_space_group_name_H-M_alt 'P 4/m m m'
_space_group_IT_number 123
_space_group_name_Hall '-P 4 2'
_cell_length_a 5.146
_cell_length_b 5.146
_cell_length_c 5.229
_cell_angle_alpha 90.00
_cell_angle_beta 90.00
_cell_angle_gamma 90.00
loop_
_atom_site_label
_atom_site_fract_x
_atom_site_fract_y
_atom_site_fract_z
_atom_site_occupancy
Pb1 0.000 0.000 0.000 1
Se1 0.500 0.500 0.500 1
S1 0.000 0.500 0.000 1
Cl1 0.000 0.000 0.500 1
```

Values from the calculation:
Mass density: 4.6 Mg/m³
E_form (uncorrected): 0.576 eV per atom
Magnetization: 0.71 μB/atom
DOS(E_F): 3.34 states/eV/cell

[2]
Zr2AlPt at its PBEsol-relaxed geometry, computed with SCAN.

The structure in CIF format:
```
data_Zr2AlPt
_space_group_name_H-M_alt 'A m m 2'
_space_group_IT_number 38
_space_group_name_Hall 'A 2 -2'
_cell_length_a 4.222
_cell_length_b 3.385
_cell_length_c 10.530
_cell_angle_alpha 90.00
_cell_angle_beta 90.00
_cell_angle_gamma 90.00
loop_
_atom_site_label
_atom_site_fract_x
_atom_site_fract_y
_atom_site_fract_z
_atom_site_occupancy
Zr1 0.000 0.000 0.000 1
Zr2 0.500 0.000 0.307 1
Al1 0.000 0.000 0.728 1
Pt1 0.500 0.000 0.580 1
```

Values from the calculation:
Mass density: 8.9 Mg/m³
Formation enthalpy at 0 K: -0.903 eV/atom
Magnetization: 0.01 μB/atom
DOS(E_F): 7.56 states/eV/cell

[3]
Hf3AuC at its PBEsol-relaxed geometry, computed with SCAN.

The structure in CIF format:
```
data_Hf3AuC
_space_group_name_H-M_alt 'P m -3 m'
_space_group_IT_number 221
_space_group_name_Hall '-P 4 2 3'
_cell_length_a 4.408
_cell_length_b 4.408
_cell_length_c 4.408
_cell_angle_alpha 90.00
_cell_angle_beta 90.00
_cell_angle_gamma 90.00
loop_
_atom_site_label
_atom_site_fract_x
_atom_site_fract_y
_atom_site_fract_z
_atom_site_occupancy
Hf1 0.000 0.000 0.500 1
Au1 0.500 0.500 0.500 1
C1 0.000 0.000 0.000 1
```

Values from the calculation:
Mass density: 14.4 Mg/m³
Formation enthalpy at 0 K: -0.748 eV/atom
Magnetization: 0.00 μB/atom
DOS(E_F): 1.66 states/eV/cell

[4]
ErRe2SiC at its PBEsol-relaxed geometry, computed with SCAN.

The structure in CIF format:
```
data_ErRe2SiC
_space_group_name_H-M_alt 'C m c m'
_space_group_IT_number 63
_space_group_name_Hall '-C 2c 2'
_cell_length_a 3.894
_cell_length_b 10.824
_cell_length_c 7.204
_cell_angle_alpha 90.00
_cell_angle_beta 90.00
_cell_angle_gamma 90.00
loop_
_atom_site_label
_atom_site_fract_x
_atom_site_fract_y
_atom_site_fract_z
_atom_site_occupancy
Er1 0.000 0.042 0.250 1
Re1 0.000 0.326 0.062 1
Si1 0.000 0.236 0.750 1
C1 0.000 0.500 0.000 1
```

Values from the calculation:
Mass density: 12.7 Mg/m³
E_form (uncorrected): -0.504 eV per atom
Magnetization: 0.00 μB/atom
DOS(E_F): 7.57 states/eV/cell

[5]
CaLa3Te at its PBEsol-relaxed geometry, computed with SCAN.

The structure in CIF format:
```
data_CaLa3Te
_space_group_name_H-M_alt 'P m -3 m'
_space_group_IT_number 221
_space_group_name_Hall '-P 4 2 3'
_cell_length_a 6.000
_cell_length_b 6.000
_cell_length_c 6.000
_cell_angle_alpha 90.00
_cell_angle_beta 90.00
_cell_angle_gamma 90.00
loop_
_atom_site_label
_atom_site_fract_x
_atom_site_fract_y
_atom_site_fract_z
_atom_site_occupancy
Ca1 0.000 0.000 0.000 1
La1 0.000 0.500 0.500 1
Te1 0.500 0.500 0.500 1
```

Values from the calculation:
Mass density: 4.5 Mg/m³
E_form (uncorrected): -0.383 eV per atom
Magnetization: 0.00 μB/atom
DOS(E_F): 7.12 states/eV/cell

[6]
BWSI2 at its PBEsol-relaxed geometry, computed with SCAN.

The structure in CIF format:
```
data_BWSI2
_space_group_name_H-M_alt 'P 4/m m m'
_space_group_IT_number 123
_space_group_name_Hall '-P 4 2'
_cell_length_a 5.523
_cell_length_b 5.523
_cell_length_c 4.455
_cell_angle_alpha 90.00
_cell_angle_beta 90.00
_cell_angle_gamma 90.00
loop_
_atom_site_label
_atom_site_fract_x
_atom_site_fract_y
_atom_site_fract_z
_atom_site_occupancy
B1 0.000 0.000 0.000 1
W1 0.500 0.500 0.500 1
S1 0.500 0.500 0.000 1
I1 0.000 0.500 0.500 1
```

Values from the calculation:
Mass density: 5.9 Mg/m³
E_form (uncorrected): 1.234 eV per atom
Magnetization: 0.48 μB/atom
DOS(E_F): 2.42 states/eV/cell

[7]
ZnBiP2Cl at its PBEsol-relaxed geometry, computed with SCAN.

The structure in CIF format:
```
data_ZnBiP2Cl
_space_group_name_H-M_alt 'P 4/m m m'
_space_group_IT_number 123
_space_group_name_Hall '-P 4 2'
_cell_length_a 4.677
_cell_length_b 4.677
_cell_length_c 4.686
_cell_angle_alpha 90.00
_cell_angle_beta 90.00
_cell_angle_gamma 90.00
loop_
_atom_site_label
_atom_site_fract_x
_atom_site_fract_y
_atom_site_fract_z
_atom_site_occupancy
Zn1 0.000 0.000 0.000 1
Bi1 0.500 0.500 0.500 1
P1 0.000 0.500 0.000 1
Cl1 0.000 0.000 0.500 1
```

Values from the calculation:
Mass density: 6.0 Mg/m³
E_form (uncorrected): 0.424 eV per atom
Magnetization: 0.00 μB/atom
DOS(E_F): 2.97 states/eV/cell

[8]
CdPb2Au2 at its PBEsol-relaxed geometry, computed with SCAN.

The structure in CIF format:
```
data_CdPb2Au2
_space_group_name_H-M_alt 'P 4/m b m'
_space_group_IT_number 127
_space_group_name_Hall '-P 4 2ab'
_cell_length_a 7.312
_cell_length_b 7.312
_cell_length_c 4.343
_cell_angle_alpha 90.00
_cell_angle_beta 90.00
_cell_angle_gamma 90.00
loop_
_atom_site_label
_atom_site_fract_x
_atom_site_fract_y
_atom_site_fract_z
_atom_site_occupancy
Cd1 0.000 0.000 0.000 1
Pb1 0.167 0.333 0.500 1
Au1 0.137 0.637 0.000 1
```

Values from the calculation:
Mass density: 13.2 Mg/m³
Formation enthalpy at 0 K: -0.067 eV/atom
Magnetization: 0.00 μB/atom
Offset from the most stable computed form: 0 meV/atom
DOS(E_F): 4.68 states/eV/cell

[9]
MnFe2Sb at its PBEsol-relaxed geometry, computed with SCAN.

The structure in CIF format:
```
data_MnFe2Sb
_space_group_name_H-M_alt 'R -3 m'
_space_group_IT_number 166
_space_group_name_Hall '-R 3 2"'
_cell_length_a 2.8874
_cell_length_b 2.8874
_cell_length_c 22.8878
_cell_angle_alpha 90.00
_cell_angle_beta 90.00
_cell_angle_gamma 120.00
loop_
_atom_site_label
_atom_site_fract_x
_atom_site_fract_y
_atom_site_fract_z
_atom_site_occupancy
Mn1 0.0000 0.0000 0.0000 1
Fe1 0.0000 0.0000 0.2570 1
Sb1 0.0000 0.0000 0.5000 1
```

Values from the calculation:
Mass density: 8.7 Mg/m³
E_form (uncorrected): 0.577 eV per atom
Magnetization: 1.72 μB/atom
DOS(E_F): 12.23 states/eV/cell

[10]
B2Pt2Pb at its PBEsol-relaxed geometry, computed with SCAN.

The structure in CIF format:
```
data_B2Pt2Pb
_space_group_name_H-M_alt 'I 4/m m m'
_space_group_IT_number 139
_space_group_name_Hall '-I 4 2'
_cell_length_a 3.210
_cell_length_b 3.210
_cell_length_c 14.358
_cell_angle_alpha 90.00
_cell_angle_beta 90.00
_cell_angle_gamma 90.00
loop_
_atom_site_label
_atom_site_fract_x
_atom_site_fract_y
_atom_site_fract_z
_atom_site_occupancy
B1 0.000 0.500 0.250 1
Pt1 0.000 0.000 0.154 1
Pb1 0.000 0.000 0.500 1
```

Values from the calculation:
Mass density: 13.9 Mg/m³
Formation enthalpy at 0 K: -0.169 eV/atom
Magnetization: 0.00 μB/atom
DOS(E_F): 3.35 states/eV/cell

[11]
Zn4Ir at its PBEsol-relaxed geometry, computed with SCAN.

The structure in CIF format:
```
data_Zn4Ir
_space_group_name_H-M_alt 'I 4/m'
_space_group_IT_number 87
_space_group_name_Hall '-I 4'
_cell_length_a 6.039
_cell_length_b 6.039
_cell_length_c 3.727
_cell_angle_alpha 90.00
_cell_angle_beta 90.00
_cell_angle_gamma 90.00
loop_
_atom_site_label
_atom_site_fract_x
_atom_site_fract_y
_atom_site_fract_z
_atom_site_occupancy
Zn1 0.104 0.705 0.000 1
Ir1 0.000 0.000 0.500 1
```

Values from the calculation:
Mass density: 11.1 Mg/m³
Formation enthalpy at 0 K: -0.208 eV/atom
Magnetization: 0.00 μB/atom
DOS(E_F): 3.09 states/eV/cell

[12]
Cs at its PBEsol-relaxed geometry, computed with SCAN.

The structure in CIF format:
```
data_Cs
_space_group_name_H-M_alt 'P n m a'
_space_group_IT_number 62
_space_group_name_Hall '-P 2ac 2n'
_cell_length_a 10.648
_cell_length_b 7.644
_cell_length_c 5.297
_cell_angle_alpha 90.00
_cell_angle_beta 90.00
_cell_angle_gamma 90.00
loop_
_atom_site_label
_atom_site_fract_x
_atom_site_fract_y
_atom_site_fract_z
_atom_site_occupancy
Cs1 0.125 0.250 0.240 1
```

Values from the calculation:
Mass density: 2.0 Mg/m³
Formation enthalpy at 0 K: 0.004 eV/atom
Magnetization: 0.00 μB/atom
Offset from the most stable computed form: 4 meV/atom
DOS(E_F): 4.56 states/eV/cell

[13]
Al2GeIrC at its PBEsol-relaxed geometry, computed with SCAN.

The structure in CIF format:
```
data_Al2GeIrC
_space_group_name_H-M_alt 'P 4/m m m'
_space_group_IT_number 123
_space_group_name_Hall '-P 4 2'
_cell_length_a 4.676
_cell_length_b 4.676
_cell_length_c 4.496
_cell_angle_alpha 90.00
_cell_angle_beta 90.00
_cell_angle_gamma 90.00
loop_
_atom_site_label
_atom_site_fract_x
_atom_site_fract_y
_atom_site_fract_z
_atom_site_occupancy
Al1 0.000 0.500 0.000 1
Ge1 0.000 0.000 0.000 1
Ir1 0.000 0.000 0.500 1
C1 0.500 0.500 0.500 1
```

Values from the calculation:
Mass density: 5.6 Mg/m³
Formation enthalpy at 0 K: 2.055 eV/atom
Magnetization: 0.21 μB/atom
DOS(E_F): 2.46 states/eV/cell

[14]
TaNb2InI at its PBEsol-relaxed geometry, computed with SCAN.

The structure in CIF format:
```
data_TaNb2InI
_space_group_name_H-M_alt 'P 4/m m m'
_space_group_IT_number 123
_space_group_name_Hall '-P 4 2'
_cell_length_a 4.898
_cell_length_b 4.898
_cell_length_c 5.355
_cell_angle_alpha 90.00
_cell_angle_beta 90.00
_cell_angle_gamma 90.00
loop_
_atom_site_label
_atom_site_fract_x
_atom_site_fract_y
_atom_site_fract_z
_atom_site_occupancy
Ta1 0.000 0.000 0.000 1
Nb1 0.000 0.500 0.500 1
In1 0.500 0.500 0.000 1
I1 0.500 0.500 0.500 1
```

Values from the calculation:
Mass density: 7.9 Mg/m³
E_form (uncorrected): 2.199 eV per atom
Magnetization: 0.00 μB/atom
DOS(E_F): 5.95 states/eV/cell